a:
Te2OsBr: relaxed, GGA-PBE.

Output
**Calculated density**: 8815 kg/m³
**Magnetic moment**: 0.00 μB per formula unit

a = 3.208 Å, b = 5.072 Å, c = 12.165 Å
α = 90.00°, β = 90.00°, γ = 90.00°
Fractional coordinates of all 8 atoms:
Te 0.000 0.000 0.179
Te 0.000 0.000 0.821
Te 0.500 0.500 0.321
Te 0.500 0.500 0.679
Os 0.000 0.500 0.500
Os 0.500 0.000 0.000
Br 0.000 0.500 0.000
Br 0.500 0.000 0.500

---

b:
Te2OsBr: relaxed, GGA-PBE.

Output
**Calculated density**: 7857 kg/m³
**Magnetic moment**: 0.35 μB per formula unit

a = 3.491 Å, b = 4.834 Å, c = 13.160 Å
α = 90.00°, β = 90.00°, γ = 90.00°
Fractional coordinates of all 8 atoms:
Te 0.000 0.000 0.000
Te 0.000 0.500 0.135
Te 0.500 0.000 0.635
Te 0.500 0.500 0.500
Os 0.000 0.500 0.647
Os 0.500 0.000 0.147
Br 0.000 0.000 0.309
Br 0.500 0.500 0.809

---

c:
Te2OsBr: relaxed, GGA-PBE.

Output
**Calculated density**: 9169 kg/m³
**Magnetic moment**: 0.00 μB per formula unit

a = 5.610 Å, b = 5.610 Å, c = 6.045 Å
α = 90.00°, β = 90.00°, γ = 90.00°
Fractional coordinates of all 8 atoms:
Te 0.000 0.500 0.000
Te 0.000 0.500 0.500
Te 0.500 0.000 0.000
Te 0.500 0.000 0.500
Os 0.000 0.000 0.000
Os 0.500 0.500 0.500
Br 0.000 0.000 0.500
Br 0.500 0.500 0.000

---

Result of the stability comparison: b is the most stable of them.